[1]
Dy2Mn17B2 | GGA-PBE | relaxed

Properties
* volume: 527 Å³ per cell

```
data_Dy2Mn17B2
_chemical_formula_sum 'Dy4 Mn34 B4'
_symmetry_space_group_name_H-M 'C 1 2/m 1'
_symmetry_Int_Tables_number 12
_cell_length_a 9.623
_cell_length_b 8.587
_cell_length_c 6.447
_cell_angle_alpha 90.00
_cell_angle_beta 98.33
_cell_angle_gamma 90.00
loop_
_symmetry_equiv_pos_as_xyz
'x,y,z'
'-x,-y,-z'
'-x,y,-z'
'x,-y,z'
'x+1/2,y+1/2,z'
'-x+1/2,-y+1/2,-z'
'-x+1/2,y+1/2,-z'
'x+1/2,-y+1/2,z'
loop_
_atom_site_label
_atom_site_type_symbol
_atom_site_fract_x
_atom_site_fract_y
_atom_site_fract_z
Dy1 Dy 0.143 0.000 0.345
Mn1 Mn 0.000 0.224 0.000
Mn2 Mn 0.000 0.500 0.500
Mn3 Mn 0.096 0.263 0.665
Mn4 Mn 0.105 0.500 0.899
Mn5 Mn 0.141 0.365 0.272
Mn6 Mn 0.152 0.000 0.867
Mn7 Mn 0.250 0.250 0.000
B1 B 0.250 0.250 0.500
```

[2]
EuNpRh2 | GGA-PBE | relaxed

Properties
* volume: 84 Å³ per cell
* energy relative to the lowest polymorph listed for this composition: 0 meV/atom

```
data_EuNpRh2
_chemical_formula_sum 'Eu1 Np1 Rh2'
_symmetry_space_group_name_H-M 'P 4/m m m'
_symmetry_Int_Tables_number 123
_symmetry_space_group_name_Hall '-P 4 2'
_cell_length_a 3.387
_cell_length_b 3.387
_cell_length_c 7.320
_cell_angle_alpha 90.00
_cell_angle_beta 90.00
_cell_angle_gamma 90.00
loop_
_atom_site_label
_atom_site_type_symbol
_atom_site_fract_x
_atom_site_fract_y
_atom_site_fract_z
Eu1 Eu 0.000 0.000 0.000
Np1 Np 0.000 0.000 0.500
Rh1 Rh 0.500 0.500 0.289
```

[3]
YMn2Co | GGA-PBE | relaxed

Properties
* volume: 65 Å³ per cell
* energy relative to the lowest polymorph listed for this composition: 153 meV/atom

```
data_YMn2Co
_chemical_formula_sum 'Y1 Mn2 Co1'
_symmetry_space_group_name_H-M 'P 4 m m'
_symmetry_Int_Tables_number 99
_cell_length_a 3.245
_cell_length_b 3.245
_cell_length_c 6.157
_cell_angle_alpha 90.00
_cell_angle_beta 90.00
_cell_angle_gamma 90.00
loop_
_symmetry_equiv_pos_as_xyz
'x,y,z'
'-y,x,z'
'-x,-y,z'
'y,-x,z'
'-x,y,z'
'y,x,z'
'x,-y,z'
'-y,-x,z'
loop_
_atom_site_label
_atom_site_type_symbol
_atom_site_fract_x
_atom_site_fract_y
_atom_site_fract_z
Y1 Y 0.000 0.000 0.000
Mn1 Mn 0.000 0.000 0.502
Mn2 Mn 0.500 0.500 0.682
Co1 Co 0.500 0.500 0.310
```

[4]
TaP2Rh | GGA-PBE | relaxed

Properties
* volume: 116 Å³ per cell
* energy relative to the lowest polymorph listed for this composition: 227 meV/atom

```
data_TaP2Rh
_chemical_formula_sum 'Ta2 P4 Rh2'
_symmetry_space_group_name_H-M 'I -4 m 2'
_symmetry_Int_Tables_number 119
_symmetry_space_group_name_Hall 'I -4 -2'
_cell_length_a 3.532
_cell_length_b 3.532
_cell_length_c 9.269
_cell_angle_alpha 90.00
_cell_angle_beta 90.00
_cell_angle_gamma 90.00
loop_
_atom_site_label
_atom_site_type_symbol
_atom_site_fract_x
_atom_site_fract_y
_atom_site_fract_z
Ta1 Ta 0.000 0.000 0.000
P1 P 0.000 0.000 0.500
P2 P 0.000 0.500 0.750
Rh1 Rh 0.000 0.500 0.250
```

[5]
Pm2PrPu | GGA-PBE | relaxed

Properties
* volume: 406 Å³ per cell
* energy relative to the lowest polymorph listed for this composition: 160 meV/atom

```
data_Pm2PrPu
_chemical_formula_sum 'Pm6 Pr3 Pu3'
_symmetry_space_group_name_H-M 'R -3 m'
_symmetry_Int_Tables_number 166
_symmetry_space_group_name_Hall '-R 3 2"'
_cell_length_a 3.5285
_cell_length_b 3.5285
_cell_length_c 37.6604
_cell_angle_alpha 90.00
_cell_angle_beta 90.00
_cell_angle_gamma 120.00
loop_
_atom_site_label
_atom_site_type_symbol
_atom_site_fract_x
_atom_site_fract_y
_atom_site_fract_z
Pm1 Pm 0.0000 0.0000 0.0869
Pr1 Pr 0.0000 0.0000 0.5000
Pu1 Pu 0.0000 0.0000 0.0000
```

| no. | calculated formation energy (meV per atom) |
| --- | --- |
| 1 | -40 |
| 2 | -353 |
| 3 | 254 |
| 4 | -321 |
| 5 | 276 |